LiTi2Ag4 | GGA-PBE | optimized geometry

Unit cell a=5.120 b=5.120 c=5.020 alpha=90.00 beta=90.00 gamma=116.35
Element x y z (fractional)
Li 0.000 0.000 0.000
Ti 0.500 0.500 0.263
Ti 0.500 0.500 0.737
Ag 0.000 0.500 0.000
Ag 0.165 0.835 0.500
Ag 0.500 0.000 0.000
Ag 0.835 0.165 0.500

Properties
- ΔE_f (eV per atom) = 0.099

---

CdS2BrCl | GGA-PBE | optimized geometry

Unit cell a=5.341 b=5.341 c=5.050 alpha=90.00 beta=90.00 gamma=90.00
Element x y z (fractional)
Cd 0.000 0.000 0.000
S 0.000 0.500 0.000
S 0.500 0.000 0.000
Br 0.500 0.500 0.500
Cl 0.000 0.000 0.500

Properties
- total energy (eV/atom) = -2.047

---

SrZnGaGe2 | GGA-PBE | optimized geometry

Unit cell a=6.222 b=6.222 c=6.222 alpha=137.16 beta=137.16 gamma=62.19
Element x y z (fractional)
Sr 0.000 0.000 0.000
Zn 0.750 0.250 0.500
Ga 0.250 0.750 0.500
Ge 0.377 0.377 0.000
Ge 0.623 0.623 0.000

Properties
- ΔE_f (eV per atom) = -0.319

---

KCa2Mg | GGA-PBE | optimized geometry

Unit cell a=6.142 b=6.142 c=6.142 alpha=60.00 beta=60.00 gamma=60.00
Element x y z (fractional)
K 0.000 0.000 0.000
Ca 0.250 0.250 0.250
Ca 0.500 0.500 0.500
Mg 0.750 0.750 0.750

Properties
- ΔE_f (eV per atom) = 0.206

---

RbZnN3 | GGA-PBE | optimized geometry

Unit cell a=4.530 b=4.530 c=4.530 alpha=90.00 beta=90.00 gamma=90.00
Element x y z (fractional)
Rb 0.000 0.000 0.000
Zn 0.500 0.500 0.500
N 0.000 0.000 0.500
N 0.000 0.500 0.000
N 0.500 0.000 0.000

Properties
- total energy (eV/atom) = -2.130

---

Ho2TlTeO8 | GGA-PBE | optimized geometry

Unit cell a=4.954 b=4.954 c=7.045 alpha=90.00 beta=90.00 gamma=92.29
Element x y z (fractional)
Ho 0.000 0.000 0.249
Ho 0.000 0.000 0.751
Tl 0.500 0.500 0.500
Te 0.500 0.500 0.000
O 0.197 0.197 0.500
O 0.217 0.217 0.000
O 0.313 0.687 0.202
O 0.313 0.687 0.798
O 0.687 0.313 0.202
O 0.687 0.313 0.798
O 0.783 0.783 0.000
O 0.803 0.803 0.500

Properties
- total energy (eV/atom) = -6.450